Tb3FeGe3 | GGA-PBE | optimized geometry

Values from the calculation:
For the formation energy, the calculation gives -728 meV/atom. As for the crystal system: monoclinic. The value obtained for the density of states at the Fermi level is 6.28 states/eV/f.u. Its total magnetization is 3.1 Bohr magnetons per cell. Its uncorrected energy is -0.2168 hartree per atom.

Unit cell a=4.2321 b=5.7675 c=13.2266 alpha=84.75 beta=80.79 gamma=68.48
With the nearest neighbours (Å) after each atom.
Fractional positions:
Ge 0.1232 0.8289 0.9247  2 Ge 2.72-2.74, 5 Tb 2.96-2.98
Ge 0.8768 0.1711 0.0753  2 Ge 2.72-2.74, 5 Tb 2.96-2.98
Ge 0.1422 0.2610 0.4546  3 Fe 2.43-2.50
Ge 0.9544 0.8500 0.2411  1 Fe 2.52, 1 Ge 2.72
Tb 0.4733 0.6718 0.3815  6 Ge 2.94-3.18, 4 Fe 3.05-3.21
Ge 0.8578 0.7390 0.5454  3 Fe 2.43-2.50
Fe 0.7586 0.0753 0.4074  4 Ge 2.43-2.52
Fe 0.2414 0.9247 0.5926  4 Ge 2.43-2.52
Tb 0.5990 0.7220 0.0801  7 Ge 2.96-3.21
Ge 0.0456 0.1500 0.7589  1 Fe 2.52, 1 Ge 2.72
Tb 0.7451 0.7402 0.7695  6 Ge 2.93-3.17, 2 Fe 3.26
Tb 0.4010 0.2780 0.9199  7 Ge 2.96-3.21
Tb 0.2549 0.2598 0.2305  6 Ge 2.93-3.17, 2 Fe 3.26
Tb 0.5267 0.3282 0.6185  6 Ge 2.94-3.18, 4 Fe 3.05-3.21